PmDyAsP GGA-PBE optimized geometry; V = 24.869 Å³ per atom; ΔE_f = -593 kJ/mol of formula units
1.0
4.1317 0.0000 0.0000
0.0000 4.1317 0.0000
0.0000 0.0000 5.8273
Pm Dy As P
1 1 1 1
Cartesian
0.0000 0.0000 0.0000
2.0659 2.0659 2.9136
2.0659 2.0659 0.0000
0.0000 0.0000 2.9136